(1)
Below is a relaxed structure of Y4ZnIr4, with properties calculated at the PBE level.

formation enthalpy at 0 K: -0.562 eV/atom
electronic total energy: -7.514 eV per atom
DOS(E_F): 0.652 states/eV/atom

Unit cell a=8.527 b=8.527 c=5.592 alpha=90.00 beta=90.00 gamma=90.00
Space group P4_2/n (No. 86, origin choice 2)
Symmetry-distinct sites (fractional):
Y (0.053, 0.682, 0.112) [8 per cell]
Zn (0.250, 0.250, 0.250) [2 per cell]
Ir (0.003, 0.368, 0.389) [8 per cell]

***

(2)
Below is a relaxed structure of Y4ZnIr, with properties calculated at the PBE level.

formation enthalpy at 0 K: -0.323 eV/atom
energy relative to the lowest polymorph listed for this composition: 160 meV/atom
electronic total energy: -6.321 eV per atom
DOS(E_F): 1.525 states/eV/atom

Unit cell a=6.913 b=6.913 c=6.947 alpha=90.00 beta=90.08 gamma=90.00
Space group C2/m (No. 12)
Symmetry-distinct sites (fractional):
Y (0.250, 0.250, 0.239) [8 per cell]
Zn (0.000, 0.000, 0.500) [2 per cell]
Ir (0.000, 0.500, 0.000) [2 per cell]

***

(3)
Below is a relaxed structure of YZn6Ir2, with properties calculated at the PBE level.

formation enthalpy at 0 K: -0.193 eV/atom
electronic total energy: -3.730 eV per atom
DOS(E_F): 0.482 states/eV/atom

Unit cell a=4.380 b=5.697 c=12.040 alpha=90.00 beta=90.00 gamma=90.00
Space group Immm (No. 71)
Symmetry-distinct sites (fractional):
Y (0.000, 0.000, 0.000) [2 per cell]
Zn (0.000, 0.204, 0.500) [4 per cell]
Zn (0.000, 0.248, 0.299) [8 per cell]
Ir (0.000, 0.500, 0.114) [4 per cell]